First-principles (GGA-PBE) data for a geometry-optimized Hf2MgAs structure, as listed in Alexandria via LeMat-Bulk.

size of the total moment: 0.00 μB per formula unit
density: 8813 kg/m3
SG: I-42d (122)
ΔH_f (0 K): -0.231 eV/f.u.
relative energy among the computed polymorphs: 0.0000 eV/atom

The structure in CIF format:
```
data_Hf2MgAs
_space_group_name_H-M_alt 'P 1'
_space_group_IT_number 1
_cell_length_a 6.163
_cell_length_b 6.163
_cell_length_c 6.163
_cell_angle_alpha 102.94
_cell_angle_beta 102.94
_cell_angle_gamma 123.52
loop_
_space_group_symop_operation_xyz
'x,y,z'
loop_
_atom_site_label
_atom_site_type_symbol
_atom_site_fract_x
_atom_site_fract_y
_atom_site_fract_z
Hf1 Hf 0.094 0.625 0.969
Hf2 Hf 0.375 0.344 0.469
Hf3 Hf 0.656 0.125 0.031
Hf4 Hf 0.875 0.906 0.531
Mg1 Mg 0.250 0.750 0.500
Mg2 Mg 0.500 0.500 0.000
As1 As 0.000 0.000 0.000
As2 As 0.750 0.250 0.500
```


First-principles (GGA-PBE) data for a geometry-optimized LiFe2Mo structure, as listed in Alexandria via LeMat-Bulk.

size of the total moment: 3.73 μB per formula unit
density: 6884 kg/m3
SG: Cmmm (65)
ΔH_f (0 K): 1.286 eV/f.u.
relative energy among the computed polymorphs: 0.1079 eV/atom

The structure in CIF format:
```
data_LiFe2Mo
_space_group_name_H-M_alt 'P 1'
_space_group_IT_number 1
_cell_length_a 4.679
_cell_length_b 4.679
_cell_length_c 2.542
_cell_angle_alpha 90.00
_cell_angle_beta 90.00
_cell_angle_gamma 111.57
loop_
_space_group_symop_operation_xyz
'x,y,z'
loop_
_atom_site_label
_atom_site_type_symbol
_atom_site_fract_x
_atom_site_fract_y
_atom_site_fract_z
Li1 Li 0.000 0.000 0.000
Fe1 Fe 0.000 0.500 0.500
Fe2 Fe 0.500 0.000 0.500
Mo1 Mo 0.500 0.500 0.000
```


First-principles (GGA-PBE) data for a geometry-optimized ZrScV structure, as listed in Alexandria via LeMat-Bulk.

size of the total moment: 0.00 μB per formula unit
density: 5038 kg/m3
SG: Ima2 (46)
ΔH_f (0 K): 0.851 eV/f.u.
relative energy among the computed polymorphs: 0.1008 eV/atom

The structure in CIF format:
```
data_ZrScV
_space_group_name_H-M_alt 'P 1'
_space_group_IT_number 1
_cell_length_a 8.288
_cell_length_b 8.288
_cell_length_c 8.288
_cell_angle_alpha 108.27
_cell_angle_beta 89.52
_cell_angle_gamma 134.01
loop_
_space_group_symop_operation_xyz
'x,y,z'
loop_
_atom_site_label
_atom_site_type_symbol
_atom_site_fract_x
_atom_site_fract_y
_atom_site_fract_z
Zr1 Zr 0.169 0.010 0.179
Zr2 Zr 0.169 0.490 0.660
Zr3 Zr 0.465 0.260 0.705
Zr4 Zr 0.555 0.760 0.295
Zr5 Zr 0.831 0.510 0.340
Zr6 Zr 0.831 0.990 0.821
Sc1 Sc 0.016 0.002 0.514
Sc2 Sc 0.080 0.548 0.031
Sc3 Sc 0.489 0.502 0.486
Sc4 Sc 0.517 0.048 0.969
Sc5 Sc 0.977 0.234 0.243
Sc6 Sc 0.991 0.734 0.757
V1 V 0.298 0.298 0.000
V2 V 0.298 0.798 0.500
V3 V 0.494 0.056 0.355
V4 V 0.494 0.639 0.937
V5 V 0.701 0.139 0.645
V6 V 0.701 0.556 0.063
```


First-principles (GGA-PBE) data for a geometry-optimized CuIrW2 structure, as listed in Alexandria via LeMat-Bulk.

size of the total moment: 0.00 μB per formula unit
density: 17140 kg/m3
SG: R3m (160)
ΔH_f (0 K): 0.705 eV/f.u.
relative energy among the computed polymorphs: 0.1456 eV/atom

The structure in CIF format:
```
data_CuIrW2
_space_group_name_H-M_alt 'P 1'
_space_group_IT_number 1
_cell_length_a 9.166
_cell_length_b 9.166
_cell_length_c 9.166
_cell_angle_alpha 17.44
_cell_angle_beta 17.44
_cell_angle_gamma 17.44
loop_
_space_group_symop_operation_xyz
'x,y,z'
loop_
_atom_site_label
_atom_site_type_symbol
_atom_site_fract_x
_atom_site_fract_y
_atom_site_fract_z
Cu1 Cu 0.000 0.000 0.000
Ir1 Ir 0.252 0.252 0.252
W1 W 0.506 0.506 0.506
W2 W 0.748 0.748 0.748
```


First-principles (GGA-PBE) data for a geometry-optimized TbHo2Zn2Ga2 structure, as listed in Alexandria via LeMat-Bulk.

size of the total moment: 0.00 μB per formula unit
density: 8121 kg/m3
SG: R-3m (166)
ΔH_f (0 K): -2.794 eV/f.u.

The structure in CIF format:
```
data_TbHo2Zn2Ga2
_space_group_name_H-M_alt 'P 1'
_space_group_IT_number 1
_cell_length_a 9.449
_cell_length_b 9.449
_cell_length_c 9.449
_cell_angle_alpha 27.17
_cell_angle_beta 27.17
_cell_angle_gamma 27.17
loop_
_space_group_symop_operation_xyz
'x,y,z'
loop_
_atom_site_label
_atom_site_type_symbol
_atom_site_fract_x
_atom_site_fract_y
_atom_site_fract_z
Tb1 Tb 0.000 0.000 0.000
Ho1 Ho 0.127 0.127 0.127
Ho2 Ho 0.873 0.873 0.873
Zn1 Zn 0.399 0.399 0.399
Zn2 Zn 0.601 0.601 0.601
Ga1 Ga 0.262 0.262 0.262
Ga2 Ga 0.738 0.738 0.738
```


First-principles (GGA-PBE) data for a geometry-optimized Sc2MnInB structure, as listed in Alexandria via LeMat-Bulk.

size of the total moment: 1.86 μB per formula unit
density: 5082 kg/m3
SG: P4/mmm (123)
ΔH_f (0 K): -1.477 eV/f.u.

The structure in CIF format:
```
data_Sc2MnInB
_space_group_name_H-M_alt 'P 1'
_space_group_IT_number 1
_cell_length_a 4.682
_cell_length_b 4.682
_cell_length_c 4.031
_cell_angle_alpha 90.00
_cell_angle_beta 90.00
_cell_angle_gamma 90.00
loop_
_space_group_symop_operation_xyz
'x,y,z'
loop_
_atom_site_label
_atom_site_type_symbol
_atom_site_fract_x
_atom_site_fract_y
_atom_site_fract_z
Sc1 Sc 0.000 0.500 0.000
Sc2 Sc 0.500 0.000 0.000
Mn1 Mn 0.000 0.000 0.500
In1 In 0.500 0.500 0.500
B1 B 0.000 0.000 0.000
```


First-principles (GGA-PBE) data for a geometry-optimized BaCrHgGe2 structure, as listed in Alexandria via LeMat-Bulk.

size of the total moment: 0.32 μB per formula unit
density: 7390 kg/m3
SG: P4/mmm (123)
ΔH_f (0 K): -0.924 eV/f.u.

The structure in CIF format:
```
data_BaCrHgGe2
_space_group_name_H-M_alt 'P 1'
_space_group_IT_number 1
_cell_length_a 4.766
_cell_length_b 4.766
_cell_length_c 5.293
_cell_angle_alpha 90.00
_cell_angle_beta 90.00
_cell_angle_gamma 90.00
loop_
_space_group_symop_operation_xyz
'x,y,z'
loop_
_atom_site_label
_atom_site_type_symbol
_atom_site_fract_x
_atom_site_fract_y
_atom_site_fract_z
Ba1 Ba 0.000 0.000 0.000
Cr1 Cr 0.500 0.500 0.500
Hg1 Hg 0.500 0.500 0.000
Ge1 Ge 0.000 0.500 0.500
Ge2 Ge 0.500 0.000 0.500
```


First-principles (GGA-PBE) data for a geometry-optimized CrCu2Rh structure, as listed in Alexandria via LeMat-Bulk.

size of the total moment: 0.25 μB per formula unit
density: 9178 kg/m3
SG: Cmmm (65)
ΔH_f (0 K): 1.153 eV/f.u.

The structure in CIF format:
```
data_CrCu2Rh
_space_group_name_H-M_alt 'P 1'
_space_group_IT_number 1
_cell_length_a 2.531
_cell_length_b 2.531
_cell_length_c 8.683
_cell_angle_alpha 90.00
_cell_angle_beta 90.00
_cell_angle_gamma 113.49
loop_
_space_group_symop_operation_xyz
'x,y,z'
loop_
_atom_site_label
_atom_site_type_symbol
_atom_site_fract_x
_atom_site_fract_y
_atom_site_fract_z
Cr1 Cr 0.000 0.000 0.000
Cu1 Cu 0.500 0.500 0.244
Cu2 Cu 0.500 0.500 0.756
Rh1 Rh 0.000 0.000 0.500
```


Which formula does entry 4 have?
CuIrW2